# V2SnGeO (PBE+U, relaxed)
# E   -5.03 eV/atom
# D(E_F)   0.66 states/eV/atom
# Crystal system   tetragonal
data_V2SnGeO
_cell_length_a 5.210
_cell_length_b 5.210
_cell_length_c 3.718
_cell_angle_alpha 90.00
_cell_angle_beta 90.00
_cell_angle_gamma 90.00
_space_group_name_H-M_alt 'P 4/m m m'
_space_group_IT_number 123
_space_group_name_Hall '-P 4 2'
loop_
_atom_site_label
_atom_site_type_symbol
_atom_site_fract_x
_atom_site_fract_y
_atom_site_fract_z
V1 V 0.000 0.500 0.000
Sn1 Sn 0.000 0.000 0.500
Ge1 Ge 0.500 0.500 0.000
O1 O 0.500 0.500 0.500